Density functional theory data (GGA-PBE) for a geometry-optimized La5Zn4Rh structure.

Cell and atoms, written as POSCAR:
```
La5Zn4Rh
1.0
-3.469 0.839 1.106
-0.454 -3.498 1.231
6.518 5.010 16.642
La Zn Rh
5 4 1
Direct
0.500 0.500 0.910 La
0.500 0.500 0.703 La
0.500 0.500 0.090 La
0.500 0.500 0.500 La
0.500 0.500 0.297 La
0.000 0.000 0.197 Zn
0.000 0.000 0.398 Zn
0.000 0.000 0.602 Zn
0.000 0.000 0.803 Zn
0.000 0.000 0.000 Rh
```

Summary:
Its symmetry is No. 123. The energy relative to the elements comes out at -384 meV/atom.